An optimized crystal structure of ZnCo2HPt, computed with GGA-PBE.

The space group is P4/mmm (No. 123) and the conventional cell measures 3.679, 3.679 and 3.975 Å, with angles of 90.00, 90.00 and 90.00 degrees. The asymmetric unit holds Zn at (0.000, 0.000, 0.000), Co at (0.000, 0.500, 0.500), H at (0.500, 0.500, 0.500) and Pt at (0.500, 0.500, 0.000).

The total magnetic moment comes out at 2.8 μB/cell. The energy above the most stable polymorph in this dataset comes out at 0 meV per atom. For the density, the calculation gives 11.71 g cm⁻³.


An optimized crystal structure of ZnCo2HPt, computed with GGA-PBE.

The space group is P4/mmm (No. 123) and the conventional cell measures 3.622, 3.622 and 4.084 Å, with angles of 90.00, 90.00 and 90.00 degrees. The asymmetric unit holds Zn at (0.000, 0.000, 0.000), Co at (0.000, 0.500, 0.500), H at (0.000, 0.000, 0.500) and Pt at (0.500, 0.500, 0.000).

The total magnetic moment comes out at 2.9 μB/cell. The energy above the most stable polymorph in this dataset comes out at 32 meV per atom. For the density, the calculation gives 11.76 g cm⁻³.


An optimized crystal structure of ZnCoHPt2, computed with GGA-PBE.

The space group is P4/mmm (No. 123) and the conventional cell measures 3.975, 3.975 and 3.739 Å, with angles of 90.00, 90.00 and 90.00 degrees. The asymmetric unit holds Zn at (0.000, 0.000, 0.000), Co at (0.500, 0.500, 0.000), H at (0.500, 0.500, 0.500) and Pt at (0.000, 0.500, 0.500).

The value obtained for the raw total energy is -24.5 eV per cell. The total magnetic moment comes out at 1.8 μB/cell. For the density, the calculation gives 14.49 g cm⁻³.


An optimized crystal structure of Zn2CoHPt, computed with GGA-PBE.

The space group is P4/mmm (No. 123) and the conventional cell measures 4.150, 4.150 and 3.248 Å, with angles of 90.00, 90.00 and 90.00 degrees. The asymmetric unit holds Zn at (0.000, 0.500, 0.000), Co at (0.000, 0.000, 0.500), H at (0.000, 0.000, 0.000) and Pt at (0.500, 0.500, 0.500).

The value obtained for the raw total energy is -19.9 eV per cell. The total magnetic moment comes out at 0.0 μB/cell. For the density, the calculation gives 11.45 g cm⁻³.


An optimized crystal structure of ZrCoHPt2, computed with GGA-PBE.

The space group is P4/mmm (No. 123) and the conventional cell measures 3.990, 3.990 and 4.046 Å, with angles of 90.00, 90.00 and 90.00 degrees. The asymmetric unit holds Zr at (0.000, 0.000, 0.000), Co at (0.500, 0.500, 0.000), H at (0.500, 0.500, 0.500) and Pt at (0.000, 0.500, 0.500).

The value obtained for the raw total energy is -33.6 eV per cell. The total magnetic moment comes out at 0.0 μB/cell. For the density, the calculation gives 13.96 g cm⁻³.


An optimized crystal structure of Zr2CoHPt, computed with GGA-PBE.

The space group is P4/mmm (No. 123) and the conventional cell measures 4.497, 4.497 and 3.577 Å, with angles of 90.00, 90.00 and 90.00 degrees. The asymmetric unit holds Zr at (0.000, 0.500, 0.000), Co at (0.000, 0.000, 0.500), H at (0.000, 0.000, 0.000) and Pt at (0.500, 0.500, 0.500).

The value obtained for the raw total energy is -36.3 eV per cell. The total magnetic moment comes out at 1.1 μB/cell. For the density, the calculation gives 10.04 g cm⁻³.


An optimized crystal structure of PuCoH4, computed with GGA-PBE.

The space group is P4/mmm (No. 123) and the conventional cell measures 3.034, 3.034 and 5.087 Å, with angles of 90.00, 90.00 and 90.00 degrees. The asymmetric unit holds Pu at (0.000, 0.000, 0.000), Co at (0.500, 0.500, 0.500) and H at (0.000, 0.500, 0.335).

The total magnetic moment comes out at 5.8 μB/cell. The energy above the most stable polymorph in this dataset comes out at 211 meV per atom. For the density, the calculation gives 10.88 g cm⁻³.


An optimized crystal structure of Pu3Co5H12, computed with GGA-PBE.

The space group is Ia-3d (No. 230) and the conventional cell measures 11.200, 11.200 and 11.200 Å, with angles of 90.00, 90.00 and 90.00 degrees. The asymmetric unit holds Pu at (0.000, 0.250, 0.125), Co at (0.000, 0.000, 0.000), Co at (0.000, 0.250, 0.375) and H at (0.040, 0.048, 0.636).

The value obtained for the raw total energy is -964.4 eV per cell. The total magnetic moment comes out at 120.2 μB/cell. For the density, the calculation gives 9.82 g cm⁻³.


An optimized crystal structure of Pu2CoH4, computed with GGA-PBE.

The space group is P2_1/m (No. 11) and the conventional cell measures 4.695, 4.923 and 6.860 Å, with angles of 90.00, 101.53 and 90.00 degrees. The asymmetric unit holds Pu at (0.214, 0.250, 0.475), Pu at (0.253, 0.750, 0.105), Co at (0.375, 0.750, 0.746), H at (0.165, 0.010, 0.777), H at (0.274, 0.750, 0.488) and H at (0.293, 0.250, 0.127).

The value obtained for the raw total energy is -102.0 eV per cell. The total magnetic moment comes out at 21.9 μB/cell. For the density, the calculation gives 11.78 g cm⁻³.


An optimized crystal structure of Pu2CoH8, computed with GGA-PBE.

The space group is C2/m (No. 12) and the conventional cell measures 5.483, 10.393 and 3.988 Å, with angles of 90.00, 128.20 and 90.00 degrees. The asymmetric unit holds Pu at (0.000, 0.165, 0.000), Co at (0.000, 0.500, 0.000), H at (0.000, 0.269, 0.500), H at (0.174, 0.500, 0.800) and H at (0.230, 0.384, 0.277).

The value obtained for the raw total energy is -130.4 eV per cell. The total magnetic moment comes out at 22.0 μB/cell. For the density, the calculation gives 10.32 g cm⁻³.


An optimized crystal structure of PuCo3H6, computed with GGA-PBE.

The space group is R3 (No. 146, hexagonal axes) and the conventional cell measures 4.4002, 4.4002 and 14.2280 Å, with angles of 90.00, 90.00 and 120.00 degrees. The asymmetric unit holds Pu at (0.0000, 0.0000, 0.0000), Co at (0.0000, 0.0000, 0.1795), Co at (0.0000, 0.0000, 0.4614), Co at (0.0000, 0.0000, 0.7931), H at (0.0007, 0.5046, 0.0510) and H at (0.0074, 0.3679, 0.2015).

The value obtained for the raw total energy is -170.9 eV per cell. The total magnetic moment comes out at 20.8 μB/cell. For the density, the calculation gives 8.91 g cm⁻³.


An optimized crystal structure of PuCo2H7, computed with GGA-PBE.

The space group is Cmmm (No. 65) and the conventional cell measures 4.851, 8.508 and 3.421 Å, with angles of 90.00, 90.00 and 90.00 degrees. The asymmetric unit holds Pu at (0.000, 0.000, 0.000), Co at (0.000, 0.314, 0.500), H at (0.000, 0.318, 0.000), H at (0.000, 0.500, 0.500) and H at (0.179, 0.149, 0.500).

The value obtained for the raw total energy is -106.9 eV per cell. The total magnetic moment comes out at 10.8 μB/cell. For the density, the calculation gives 8.68 g cm⁻³.


An optimized crystal structure of Pu3CoH6, computed with GGA-PBE.

The space group is Cmcm (No. 63) and the conventional cell measures 8.620, 10.168 and 4.846 Å, with angles of 90.00, 90.00 and 90.00 degrees. The asymmetric unit holds Pu at (0.000, 0.143, 0.250), Pu at (0.206, 0.381, 0.250), Co at (0.000, 0.351, 0.750), H at (0.000, 0.190, 0.750), H at (0.000, 0.500, 0.000), H at (0.132, 0.000, 0.000) and H at (0.195, 0.359, 0.750).

The value obtained for the raw total energy is -289.9 eV per cell. The total magnetic moment comes out at 70.1 μB/cell. For the density, the calculation gives 12.46 g cm⁻³.


An optimized crystal structure of PuCoH, computed with GGA-PBE.

The space group is P-6m2 (No. 187) and the conventional cell measures 3.6475, 3.6475 and 3.4485 Å, with angles of 90.00, 90.00 and 120.00 degrees. The asymmetric unit holds Pu at (0.0000, 0.0000, 0.0000), Co at (0.6667, 0.3333, 0.5000) and H at (0.3333, 0.6667, 0.5000).

The total magnetic moment comes out at 4.4 μB/cell. The energy above the most stable polymorph in this dataset comes out at 232 meV per atom. For the density, the calculation gives 12.70 g cm⁻³.


An optimized crystal structure of PuCoH5, computed with GGA-PBE.

The space group is Immm (No. 71) and the conventional cell measures 3.656, 4.618 and 6.380 Å, with angles of 90.00, 90.00 and 90.00 degrees. The asymmetric unit holds Pu at (0.000, 0.000, 0.000), Co at (0.000, 0.000, 0.500), H at (0.000, 0.249, 0.333) and H at (0.000, 0.500, 0.000).

The value obtained for the raw total energy is -79.9 eV per cell. The total magnetic moment comes out at 10.0 μB/cell. For the density, the calculation gives 9.49 g cm⁻³.


An optimized crystal structure of Pu4Co2H, computed with GGA-PBE.

The space group is I4/mmm (No. 139) and the conventional cell measures 4.477, 4.477 and 13.548 Å, with angles of 90.00, 90.00 and 90.00 degrees. The asymmetric unit holds Pu at (0.000, 0.000, 0.192), Pu at (0.000, 0.500, 0.000), Co at (0.000, 0.000, 0.376) and H at (0.000, 0.000, 0.000).

The value obtained for the raw total energy is -148.5 eV per cell. The total magnetic moment comes out at 42.4 μB/cell. For the density, the calculation gives 13.39 g cm⁻³.


An optimized crystal structure of PuCoH2, computed with GGA-PBE.

The space group is R-3m (No. 166, hexagonal axes) and the conventional cell measures 4.0080, 4.0080 and 9.8241 Å, with angles of 90.00, 90.00 and 120.00 degrees. The asymmetric unit holds Pu at (0.0000, 0.0000, 0.0000), Co at (0.0000, 0.0000, 0.5000) and H at (0.0000, 0.0000, 0.3390).

The total magnetic moment comes out at 14.0 μB/cell. The energy above the most stable polymorph in this dataset comes out at 0 meV per atom. For the density, the calculation gives 11.12 g cm⁻³.


An optimized crystal structure of PuCoH, computed with GGA-PBE.

The space group is P-1 (No. 2) and the conventional cell measures 3.632, 3.658 and 6.722 Å, with angles of 90.04, 105.63 and 90.00 degrees. The asymmetric unit holds Pu at (0.129, 0.251, 0.259), Co at (0.439, 0.250, 0.878) and H at (0.316, 0.247, 0.626).

The total magnetic moment comes out at 9.3 μB/cell. The energy above the most stable polymorph in this dataset comes out at 0 meV per atom. For the density, the calculation gives 11.74 g cm⁻³.


An optimized crystal structure of PuCoH, computed with GGA-PBE.

The space group is I4mm (No. 107) and the conventional cell measures 2.699, 2.699 and 9.471 Å, with angles of 90.00, 90.00 and 90.00 degrees. The asymmetric unit holds Pu at (0.000, 0.000, 0.000), Co at (0.000, 0.000, 0.730) and H at (0.000, 0.000, 0.249).

The total magnetic moment comes out at 8.7 μB/cell. The energy above the most stable polymorph in this dataset comes out at 389 meV per atom. For the density, the calculation gives 14.63 g cm⁻³.


An optimized crystal structure of PuCoH2, computed with GGA-PBE.

The space group is Pnma (No. 62) and the conventional cell measures 6.425, 3.420 and 6.718 Å, with angles of 90.00, 90.00 and 90.00 degrees. The asymmetric unit holds Pu at (0.109, 0.250, 0.064), Co at (0.050, 0.250, 0.628), H at (0.038, 0.750, 0.618) and H at (0.231, 0.750, 0.260).

The total magnetic moment comes out at 0.0 μB/cell. The energy above the most stable polymorph in this dataset comes out at 64 meV per atom. For the density, the calculation gives 13.72 g cm⁻³.